1.
PBE Ta2FeIrC, optimized geometry; formation energy from the elements = -0.311 eV/atom; space-group type = No. 123; energy = -51.81 eV for the cell shown
1.0
4.2523 0.0000 0.0000
0.0000 4.2523 0.0000
0.0000 0.0000 3.7784
Ta Ir C Fe
2 1 1 1
direct
0.5000 0.0000 0.0000 Ta
0.0000 0.5000 0.0000 Ta
0.5000 0.5000 0.5000 Ir
0.0000 0.0000 0.0000 C
0.0000 0.0000 0.5000 Fe

2.
PBE Ca2Cu2Au, optimized geometry; formation energy from the elements = -0.202 eV/atom; space-group type = No. 139; E above lowest polymorph = 0.153 eV/atom; energy = -16.48 eV for the cell shown
1.0
5.5564 0.0000 0.0000
0.0000 5.5564 0.0000
2.7782 2.7782 3.7311
Cu Ca Au
2 2 1
direct
0.3459 0.3459 0.3083 Cu
0.6541 0.6541 0.6917 Cu
0.2500 0.7500 0.5000 Ca
0.7500 0.2500 0.5000 Ca
0.0000 0.0000 0.0000 Au

3.
PBE MgCu5, optimized geometry; formation energy from the elements = -0.041 eV/atom; space-group type = No. 12; energy = -22.32 eV for the cell shown
1.0
3.6677 0.0000 0.0000
-1.8339 4.0721 -0.8524
0.0000 -0.5838 5.3069
Cu Mg
5 1
direct
0.3056 0.6111 0.6111 Cu
0.9780 0.9560 0.4542 Cu
0.6331 0.2662 0.7680 Cu
0.9715 0.9429 0.9330 Cu
0.6396 0.2793 0.2892 Cu
0.3056 0.6111 0.1111 Mg

4.
PBE SrYAl, optimized geometry; formation energy from the elements = -0.157 eV/atom; space-group type = No. 129; E above lowest polymorph = 0.054 eV/atom; energy = -24.72 eV for the cell shown
1.0
5.0382 -0.0002 0.0000
0.0001 5.0383 0.0002
-0.0001 -0.0015 8.0139
Sr Y Al
2 2 2
direct
0.0140 0.2298 0.4900 Sr
0.5140 0.7299 0.2073 Sr
0.5140 0.2299 0.8486 Y
0.0140 0.7299 0.8486 Y
0.0140 0.2300 0.0698 Al
0.5140 0.7299 0.6275 Al

5.
PBE Sr3CdGa2, optimized geometry; formation energy from the elements = -0.355 eV/atom; space-group type = No. 123; E above lowest polymorph = 0.000 eV/atom; energy = -14.14 eV for the cell shown
1.0
-2.3931 1.1967 2.8952
1.8659 -2.3821 2.5269
7.6141 8.7875 2.6614
Sr Cd Ga
3 1 2
direct
0.0000 0.0000 0.0000 Sr
0.0000 0.0000 0.6810 Sr
0.0000 0.0000 0.3190 Sr
0.5000 0.5000 0.5000 Cd
0.5000 0.5000 0.1575 Ga
0.5000 0.5000 0.8425 Ga

6.
PBE BaLiOsO5, optimized geometry; space-group type = No. 15; formation energy from raw total energies = -1.706 eV/atom; energy = -107.01 eV for the cell shown
1.0
5.9018 -0.1361 0.0817
-1.8530 5.6050 0.0817
-1.5884 -2.1456 6.9180
O Li Ba Os
10 2 2 2
direct
0.0544 0.9456 0.2500 O
0.0944 0.7313 0.9129 O
0.7777 0.6614 0.4298 O
0.2687 0.9056 0.5871 O
0.6614 0.7777 0.9298 O
0.2223 0.3386 0.5702 O
0.3386 0.2223 0.0702 O
0.7313 0.0944 0.4129 O
0.9056 0.2687 0.0871 O
0.9456 0.0544 0.7500 O
0.6891 0.3109 0.2500 Li
0.3109 0.6891 0.7500 Li
0.6626 0.3374 0.7500 Ba
0.3374 0.6626 0.2500 Ba
0.0000 0.0000 0.5000 Os
0.0000 0.0000 0.0000 Os

7.
PBE CsSb3P, optimized geometry; space-group type = No. 221; formation energy from raw total energies = 2.021 eV/atom; E above lowest polymorph = 1.734 eV/atom; energy = -8.53 eV for the cell shown
1.0
6.2924 0.0000 0.0000
0.0000 6.2924 0.0000
0.0000 0.0000 6.2924
Sb Cs P
3 1 1
direct
0.5000 0.0000 0.0000 Sb
0.0000 0.5000 0.0000 Sb
0.0000 0.0000 0.5000 Sb
0.0000 0.0000 0.0000 Cs
0.5000 0.5000 0.5000 P

8.
PBE TmScCu10, optimized geometry; formation energy from the elements = -0.161 eV/atom; space-group type = No. 47; energy = -53.70 eV for the cell shown
1.0
4.0981 0.0000 0.0000
0.0000 4.9584 0.0000
0.0000 0.0000 8.5243
Cu Tm Sc
10 1 1
direct
0.5000 0.2508 0.2521 Cu
0.5000 0.5000 0.0000 Cu
0.0000 0.5000 0.1721 Cu
0.5000 0.7492 0.7479 Cu
0.0000 0.0000 0.3377 Cu
0.5000 0.2508 0.7479 Cu
0.0000 0.5000 0.8279 Cu
0.5000 0.0000 0.5000 Cu
0.0000 0.0000 0.6623 Cu
0.5000 0.7492 0.2521 Cu
0.0000 0.0000 0.0000 Tm
0.0000 0.5000 0.5000 Sc

9.
PBE Ce3Zn4Ga4, optimized geometry; formation energy from the elements = -0.449 eV/atom; space-group type = No. 71; E above lowest polymorph = 0.000 eV/atom; energy = -39.94 eV for the cell shown
1.0
-4.2847 -0.8296 0.9745
-1.4518 -0.3397 -6.6722
4.2629 -6.5481 2.9086
Ga Ce Zn
4 3 4
direct
0.5000 0.8143 0.0000 Ga
0.2183 0.7183 0.4366 Ga
0.5000 0.1857 0.0000 Ga
0.7817 0.2817 0.5634 Ga
0.8703 0.8703 0.7406 Ce
0.1297 0.1297 0.2594 Ce
0.0000 0.5000 0.0000 Ce
0.6638 0.8512 0.3276 Zn
0.6638 0.4764 0.3276 Zn
0.3362 0.5236 0.6724 Zn
0.3362 0.1488 0.6724 Zn

10.
PBE HgPPb2, optimized geometry; formation energy from the elements = 0.062 eV/atom; space-group type = No. 160; E above lowest polymorph = 0.020 eV/atom; energy = -12.88 eV for the cell shown
1.0
4.0103 0.0000 0.0000
2.0051 3.4730 0.0000
2.0051 1.1577 8.2505
P Hg Pb
1 1 2
direct
0.6673 0.6673 0.9980 P
0.4989 0.4989 0.5034 Hg
0.0687 0.0687 0.7940 Pb
0.2651 0.2651 0.2047 Pb

11.
PBE CaRe2Te, optimized geometry; space-group type = No. 122; formation energy from raw total energies = 1.172 eV/atom; energy = -50.71 eV for the cell shown
1.0
8.0261 0.0000 0.0000
0.0000 8.0261 0.0000
4.0130 4.0130 2.7336
Te Re Ca
2 4 2
direct
0.0000 0.0000 0.0000 Te
0.7500 0.2500 0.5000 Te
0.6826 0.1250 0.2500 Re
0.3750 0.3174 0.7500 Re
0.8750 0.9326 0.7500 Re
0.0674 0.6250 0.2500 Re
0.5000 0.5000 0.0000 Ca
0.2500 0.7500 0.5000 Ca

12.
PBE Sr3ScSb2O9, optimized geometry; space-group type = No. 164; formation energy from raw total energies = -2.416 eV/atom; energy = -100.48 eV for the cell shown
1.0
-0.2303 -5.8202 0.3230
0.6926 3.1654 4.8511
-7.0883 0.3248 0.8000
O Sr Sb Sc
9 3 2 1
direct
0.8306 0.6613 0.6680 O
0.0000 0.5000 0.0000 O
0.6613 0.8306 0.3320 O
0.5000 0.5000 0.0000 O
0.1694 0.3387 0.3320 O
0.1694 0.8306 0.3320 O
0.8306 0.1694 0.6680 O
0.3387 0.1694 0.6680 O
0.5000 0.0000 0.0000 O
0.6667 0.3333 0.3372 Sr
0.0000 0.0000 0.0000 Sr
0.3333 0.6667 0.6628 Sr
0.6667 0.3333 0.8277 Sb
0.3333 0.6667 0.1723 Sb
0.0000 0.0000 0.5000 Sc

13.
PBE AlAu, optimized geometry; formation energy from the elements = 0.039 eV/atom; space-group type = No. 223; energy = -41.66 eV for the cell shown
1.0
7.1098 0.0000 0.0000
0.0000 7.1098 0.0000
0.0000 0.0000 7.1098
Au Al
6 6
direct
0.2500 0.5000 0.0000 Au
0.7500 0.5000 0.0000 Au
0.0000 0.7500 0.5000 Au
0.5000 0.0000 0.2500 Au
0.0000 0.2500 0.5000 Au
0.5000 0.0000 0.7500 Au
0.5000 0.2500 0.0000 Al
0.7500 0.0000 0.5000 Al
0.0000 0.5000 0.2500 Al
0.5000 0.7500 0.0000 Al
0.0000 0.5000 0.7500 Al
0.2500 0.0000 0.5000 Al

14.
PBE La2MgNiAg, optimized geometry; formation energy from the elements = -0.143 eV/atom; space-group type = No. 123; energy = -20.80 eV for the cell shown
1.0
5.3681 0.0000 0.0000
0.0000 5.3681 0.0000
0.0000 0.0000 4.9050
Ni Ag La Mg
1 1 2 1
direct
0.0000 0.0000 0.0000 Ni
0.5000 0.5000 0.5000 Ag
0.5000 0.0000 0.0000 La
0.0000 0.5000 0.0000 La
0.0000 0.0000 0.5000 Mg

15.
PBE FeBr5, optimized geometry; space-group type = No. 189; formation energy from raw total energies = 0.498 eV/atom; energy = -13.84 eV for the cell shown
1.0
2.5902 -4.4863 0.0000
2.5902 4.4863 0.0000
0.0000 0.0000 7.4770
Br Fe
5 1
direct
0.6667 0.3333 0.5000 Br
0.3214 0.3214 0.0000 Br
0.0000 0.6786 0.0000 Br
0.6786 0.0000 0.0000 Br
0.3333 0.6667 0.5000 Br
0.0000 0.0000 0.5000 Fe

16.
PBE CaYTi2, optimized geometry; formation energy from the elements = 0.580 eV/atom; space-group type = No. 225; E above lowest polymorph = 0.000 eV/atom; energy = -21.94 eV for the cell shown
1.0
0.0000 3.7148 3.7148
3.7148 0.0000 3.7148
3.7148 3.7148 0.0000
Ti Ca Y
2 1 1
direct
0.2500 0.2500 0.2500 Ti
0.7500 0.7500 0.7500 Ti
0.0000 0.0000 0.0000 Ca
0.5000 0.5000 0.5000 Y

17.
PBE La4PrAg, optimized geometry; formation energy from the elements = 0.006 eV/atom; space-group type = No. 36; E above lowest polymorph = 0.081 eV/atom; energy = -54.61 eV for the cell shown
1.0
5.7871 0.0000 0.0000
0.0000 6.5856 0.0000
-2.8935 0.0000 10.5486
La Pr Ag
8 2 2
direct
0.4617 0.8792 0.9234 La
0.9392 0.2054 0.8785 La
0.2462 0.6418 0.4925 La
0.7538 0.1418 0.5075 La
0.0608 0.7054 0.1215 La
0.5383 0.3792 0.0766 La
0.3142 0.0590 0.6284 La
0.6858 0.5590 0.3716 La
0.8688 0.6936 0.7376 Pr
0.1312 0.1936 0.2624 Pr
0.3906 0.4545 0.7813 Ag
0.6094 0.9545 0.2187 Ag

18.
PBE Pa2NiOs, optimized geometry; formation energy from the elements = 0.281 eV/atom; space-group type = No. 166; energy = -34.88 eV for the cell shown
1.0
-1.1533 -1.2935 -2.4831
-1.2359 -2.7594 0.1652
-9.4846 2.6569 1.1749
Pa Ni Os
2 1 1
direct
0.9141 0.9141 0.2576 Pa
0.0859 0.0859 0.7424 Pa
0.0000 0.0000 0.0000 Ni
0.5000 0.5000 0.5000 Os

19.
PBE AgBiN2F, optimized geometry; space-group type = No. 123; formation energy from raw total energies = 0.955 eV/atom; E above lowest polymorph = 0.096 eV/atom; energy = -20.48 eV for the cell shown
1.0
-1.4777 3.8533 -0.5663
-3.8361 -1.5447 -0.5006
-0.6750 0.3450 4.1082
F Ag N Bi
1 1 2 1
direct
0.0000 0.0000 0.5000 F
0.0000 0.0000 0.0000 Ag
0.5000 0.0000 0.0000 N
0.0000 0.5000 0.0000 N
0.5000 0.5000 0.5000 Bi

20.
PBE LiMg2Ga2Pd2, optimized geometry; formation energy from the elements = -0.565 eV/atom; space-group type = No. 12; energy = -25.50 eV for the cell shown
1.0
4.4079 0.0000 0.0000
-2.2039 3.8146 -0.2622
0.0000 -1.9989 7.1655
Pd Li Ga Mg
2 1 2 2
direct
0.2628 0.5256 0.7912 Pd
0.7372 0.4744 0.2088 Pd
0.0000 0.0000 0.0000 Li
0.6071 0.2142 0.8244 Ga
0.3929 0.7858 0.1756 Ga
0.1310 0.2619 0.3923 Mg
0.8690 0.7381 0.6077 Mg